1.
This record from Alexandria describes crystalline Li4Cd5Sn at its relaxed geometry. The functional is PBE.

**Spin magnetization**: 0.0 μB per cell
**Offset from the most stable computed form**: 0.057 eV per atom
**ΔH_f (0 K)**: -175 meV/atom

```
20
Lattice="-2.590 2.723 2.901 5.062 -3.647 7.943 6.338 6.940 -0.853" Properties=species:S:1:pos:R:3 pbc="T T T"
Li 2.808 7.244 1.536
Li 2.198 -0.941 8.673
Li -1.021 1.378 3.622
Li -0.355 3.780 1.962
Li 3.465 0.589 4.484
Li 5.974 1.663 5.716
Li 4.131 2.991 2.824
Li 6.640 4.065 4.057
Cd 8.372 2.979 6.622
Cd 5.086 5.346 1.467
Cd 0.585 0.222 6.150
Cd 5.019 -0.692 7.073
Cd 1.734 1.675 1.918
Cd 3.153 1.414 7.315
Cd 1.376 2.694 4.528
Cd 2.524 4.148 0.295
Cd 4.362 5.963 4.126
Cd 6.139 4.683 6.913
Sn -0.647 0.680 0.725
Sn 3.757 3.689 5.721
```



2.
This record from Alexandria describes crystalline KLaMg4 at its relaxed geometry. The functional is PBE.

**Spin magnetization**: 0.0 μB per cell
**ΔH_f (0 K)**: 78 meV/atom

```
6
Lattice="0.000 4.500 4.500 4.500 0.000 4.500 4.500 4.500 0.000" Properties=species:S:1:pos:R:3 pbc="T T T"
K 6.749 6.749 6.749
La 0.000 0.000 0.000
Mg 3.363 5.636 5.636
Mg 5.636 5.636 3.363
Mg 5.636 3.363 5.636
Mg 3.363 3.363 3.363
```



3.
This record from Alexandria describes crystalline ReW2 at its relaxed geometry. The functional is PBE.

**Spin magnetization**: 0.0 μB per cell
**Offset from the most stable computed form**: 0.046 eV per atom
**ΔH_f (0 K)**: 94 meV/atom

```
3
Lattice="7.033 -0.016 0.012 6.323 2.638 0.019 0.709 -0.767 2.541" Properties=species:S:1:pos:R:3 pbc="T T T"
Re 0.000 0.000 0.000
W 4.938 0.366 1.702
W 9.128 1.489 0.870
```



4.
This record from Alexandria describes crystalline LaAs2SeF at its relaxed geometry. The functional is PBE.

**Energy relative to the elements, uncorrected**: -0.8143 eV per atom
**Spin magnetization**: 0.0 μB per cell
**Offset from the most stable computed form**: 0.000 eV per atom

```
5
Lattice="-0.701 3.828 -2.024 2.007 -1.530 -3.588 -4.906 -1.918 -1.927" Properties=species:S:1:pos:R:3 pbc="T T T"
As 1.004 -0.765 -1.794
As -0.351 1.914 -1.012
F 0.000 0.000 0.000
Se -2.453 -0.959 -0.963
La -1.800 0.190 -3.769
```



5.
This record from Alexandria describes crystalline CoTc2 at its relaxed geometry. The functional is PBE.

**Spin magnetization**: 0.7 μB per cell
**Offset from the most stable computed form**: 0.034 eV per atom
**ΔH_f (0 K)**: 47 meV/atom

```
12
Lattice="3.760 0.000 0.000 0.000 3.760 0.000 -1.880 -1.880 11.190" Properties=species:S:1:pos:R:3 pbc="T T T"
Co 0.000 0.000 1.893
Co 1.880 1.880 9.296
Co 0.000 1.880 7.488
Co 0.000 1.880 3.702
Tc 0.000 0.000 5.574
Tc 1.880 1.880 5.616
Tc 0.000 1.880 11.169
Tc 0.000 1.880 0.021
Tc 0.000 0.000 9.275
Tc 1.880 1.880 1.914
Tc 1.880 0.000 3.680
Tc 1.880 0.000 7.509
```



6.
This record from Alexandria describes crystalline HgO3 at its relaxed geometry. The functional is PBE.

**Energy relative to the elements, uncorrected**: 0.1135 eV per atom
**Spin magnetization**: 0.0 μB per cell

```
8
Lattice="-1.926 4.082 1.297 -4.568 -0.788 0.755 1.335 -1.453 6.554" Properties=species:S:1:pos:R:3 pbc="T T T"
Hg -5.881 2.983 1.859
Hg -1.967 0.610 4.110
O -3.395 1.722 1.073
O 0.519 -0.652 3.324
O -2.129 1.922 1.718
O -1.911 -0.649 6.534
O -3.103 -0.890 3.150
O -0.937 2.163 5.103
```



7.
This record from Alexandria describes crystalline Hf5ZrTl4 at its relaxed geometry. The functional is PBE.

**Spin magnetization**: 1.3 μB per cell
**ΔH_f (0 K)**: 368 meV/atom

```
20
Lattice="5.364 0.000 0.000 0.000 10.430 0.000 0.000 0.000 8.874" Properties=species:S:1:pos:R:3 pbc="T T T"
Hf 1.355 7.816 5.892
Hf 1.355 2.614 5.892
Hf 3.022 5.215 0.000
Hf 1.355 7.816 2.982
Hf 1.355 2.614 2.982
Hf 4.008 7.829 1.455
Hf 4.008 2.601 1.455
Hf 2.341 0.000 4.437
Hf 4.008 2.601 7.418
Hf 4.008 7.829 7.418
Zr 2.889 0.000 0.000
Zr 2.474 5.215 4.437
Tl 5.350 0.000 6.683
Tl 1.289 7.760 0.000
Tl 1.289 2.670 0.000
Tl 5.350 0.000 2.191
Tl 0.013 5.215 2.246
Tl 4.075 7.884 4.437
Tl 4.075 2.545 4.437
Tl 0.013 5.215 6.627
```



8.
This record from Alexandria describes crystalline LaCoTc4 at its relaxed geometry. The functional is PBE.

**Spin magnetization**: 2.0 μB per cell
**ΔH_f (0 K)**: 494 meV/atom

```
6
Lattice="-3.507 1.417 3.726 -1.853 4.973 0.147 -5.040 0.996 -1.340" Properties=species:S:1:pos:R:3 pbc="T T T"
La 0.000 0.000 0.000
Co -7.800 5.539 1.899
Tc -5.651 3.479 2.803
Tc -6.413 3.270 0.285
Tc -4.829 5.247 1.025
Tc -3.908 2.775 0.952
```



9.
This record from Alexandria describes crystalline Pt2AuBr at its relaxed geometry. The functional is PBE.

**Energy relative to the elements, uncorrected**: 0.5232 eV per atom
**Spin magnetization**: 0.0 μB per cell
**Offset from the most stable computed form**: 0.264 eV per atom

```
4
Lattice="-2.589 0.039 -5.022 2.902 -2.137 -4.351 -2.564 -0.666 4.990" Properties=species:S:1:pos:R:3 pbc="T T T"
Au -2.498 -0.839 -2.359
Br 0.247 -1.927 -2.024
Pt 0.000 -0.002 -0.009
Pt 0.156 -1.047 -4.678
```



10.
This record from Alexandria describes crystalline GeSe3S at its relaxed geometry. The functional is PBE.

**Energy relative to the elements, uncorrected**: 0.5097 eV per atom
**Spin magnetization**: 0.0 μB per cell
**Offset from the most stable computed form**: 0.000 eV per atom

```
5
Lattice="4.869 0.000 0.000 0.000 4.869 0.000 0.000 0.000 4.869" Properties=species:S:1:pos:R:3 pbc="T T T"
Ge 2.435 2.435 2.435
S 0.000 0.000 0.000
Se 0.000 2.435 0.000
Se 0.000 0.000 2.435
Se 2.435 0.000 0.000
```



11.
This record from Alexandria describes crystalline RuCl3O at its relaxed geometry. The functional is PBE.

**Energy relative to the elements, uncorrected**: 0.6310 eV per atom
**Spin magnetization**: 1.5 μB per cell
**Offset from the most stable computed form**: 1.073 eV per atom

```
5
Lattice="4.687 0.000 0.000 0.000 4.687 0.000 0.000 0.000 4.687" Properties=species:S:1:pos:R:3 pbc="T T T"
Ru 0.000 0.000 0.000
O 2.343 2.343 2.343
Cl 0.000 2.343 0.000
Cl 0.000 0.000 2.343
Cl 2.343 0.000 0.000
```



12.
This record from Alexandria describes crystalline RbPu2MnI8 at its relaxed geometry. The functional is PBE.

**Energy relative to the elements, uncorrected**: -0.9389 eV per atom
**Spin magnetization**: 16.2 μB per cell

```
12
Lattice="-6.361 -0.331 4.243 -3.635 -3.854 -4.995 3.125 -8.214 4.051" Properties=species:S:1:pos:R:3 pbc="T T T"
Rb 1.563 -4.107 2.026
Pu -2.619 -8.347 2.708
Pu -4.252 -4.052 0.590
Mn 0.000 0.000 0.000
I -3.142 -4.684 -2.322
I -3.817 -11.305 3.153
I -5.568 -2.865 3.230
I -3.729 -7.715 5.621
I -3.054 -1.095 0.145
I -1.302 -9.535 0.068
I -5.066 -7.108 1.064
I -1.804 -5.291 2.234
```